# 1
A relaxed Mg5Al4Zn4 crystal, computed with PBE.

a = 3.9897 Å, b = 8.0513 Å, c = 8.0513 Å
α = 86.48°, β = 75.65°, γ = 75.65°
Element x y z (fractional)
Mg1 0.6318 0.6637 0.0727
Mg2 0.7045 0.9273 0.6637
Mg3 0.2955 0.0727 0.3363
Mg4 0.3682 0.3363 0.9273
Mg5 0.0000 0.0000 0.0000
Al1 0.8962 0.5235 0.6840
Al2 0.5803 0.3160 0.5235
Al3 0.4197 0.6840 0.4765
Al4 0.1038 0.4765 0.3160
Zn1 0.0584 0.1837 0.6996
Zn2 0.2420 0.6996 0.8163
Zn3 0.7580 0.3004 0.1837
Zn4 0.9416 0.8163 0.3004

Values from the calculation:
Energy relative to the elements = -0.03 eV per atom
Crystal system = tetragonal
DOS(E_F) = 6.0 states/eV/f.u.

=====

# 2
A relaxed BP crystal, computed with PBE.

a = 3.2133 Å, b = 5.5642 Å, c = 8.6628 Å
α = 90.00°, β = 90.00°, γ = 90.00°
Element x y z (fractional)
P1 0.0000 0.6633 0.2500
P2 0.0000 0.3367 0.7500
P3 0.5000 0.8367 0.7500
P4 0.5000 0.1633 0.2500
B1 0.5000 0.4966 0.2500
B2 0.0000 0.0034 0.7500
B3 0.0000 0.9966 0.2500
B4 0.5000 0.5034 0.7500

Values from the calculation:
Energy relative to the elements = -0.03 eV per atom
Crystal system = orthorhombic

=====

# 3
A relaxed K2CuW crystal, computed with PBE.

a = 2.8597 Å, b = 2.8597 Å, c = 11.5502 Å
α = 90.00°, β = 90.00°, γ = 110.89°
Element x y z (fractional)
K1 0.0000 0.0000 0.5116
K2 0.0000 0.0000 0.9884
W1 0.5000 0.5000 0.2500
Cu1 0.5000 0.5000 0.7500

Values from the calculation:
Energy above the most stable polymorph in this dataset = 284.3 meV/atom
Energy relative to the elements = 1.24 eV per atom
Crystal system = orthorhombic
DOS(E_F) = 2.9 states/eV/f.u.

=====

# 4
A relaxed In2HgPbI4 crystal, computed with PBE.

a = 4.7465 Å, b = 7.7580 Å, c = 10.1809 Å
α = 67.59°, β = 76.52°, γ = 72.19°
Element x y z (fractional)
I1 0.1601 0.0075 0.6724
I2 0.8399 0.9925 0.3276
I3 0.6268 0.6800 0.0665
I4 0.3732 0.3200 0.9335
Hg1 0.5000 0.5000 0.5000
In1 0.8108 0.6804 0.6980
In2 0.1892 0.3196 0.3020
Pb1 0.0000 0.0000 0.0000

Values from the calculation:
Crystal system = monoclinic
ΔE_f (raw) = -0.459 eV per atom
DOS(E_F) = 0.0 states/eV/f.u.

=====

# 5
A relaxed TmGa2HRu2 crystal, computed with PBE.

a = 4.1140 Å, b = 4.1140 Å, c = 5.2555 Å
α = 90.00°, β = 90.00°, γ = 90.00°
Element x y z (fractional)
Ru1 0.0000 0.5000 0.0000
Ru2 0.5000 0.0000 0.0000
Ga1 0.5000 0.5000 0.7293
Ga2 0.5000 0.5000 0.2707
H1 0.0000 0.0000 0.0000
Tm1 0.0000 0.0000 0.5000

Values from the calculation:
Crystal system = tetragonal
DOS(E_F) = 3.7 states/eV/f.u.
Total energy = -5.802 eV per atom

=====

# 6
A relaxed Pa2Ni2SnS6 crystal, computed with PBE.

a = 6.9768 Å, b = 6.9312 Å, c = 7.3271 Å
α = 120.21°, β = 91.46°, γ = 59.83°
Element x y z (fractional)
S1 0.2257 0.8309 0.5780
S2 0.0667 0.5316 0.7876
S3 0.7743 0.1691 0.4220
S4 0.5903 0.1823 0.9299
S5 0.4097 0.8177 0.0701
S6 0.9333 0.4684 0.2124
Ni1 0.1990 0.7761 0.8427
Ni2 0.8010 0.2239 0.1573
Pa1 0.1698 0.6607 0.1718
Pa2 0.8302 0.3393 0.8282
Sn1 0.5000 0.0000 0.5000

Values from the calculation:
Crystal system = triclinic
ΔE_f (raw) = -1.030 eV per atom

=====

# 7
A relaxed BaBAs2Br crystal, computed with PBE.

a = 4.4490 Å, b = 4.4490 Å, c = 6.4745 Å
α = 90.00°, β = 90.00°, γ = 90.00°
Element x y z (fractional)
B1 0.0000 0.0000 0.0000
Br1 0.0000 0.0000 0.5000
Ba1 0.5000 0.5000 0.5000
As1 0.5000 0.0000 0.0000
As2 0.0000 0.5000 0.0000

Values from the calculation:
Energy above the most stable polymorph in this dataset = 0.0 meV/atom
Crystal system = tetragonal
ΔE_f (raw) = -0.176 eV per atom
DOS(E_F) = 2.0 states/eV/f.u.

=====

# 8
A relaxed SrTl2BIr crystal, computed with PBE.

a = 6.0761 Å, b = 4.7742 Å, c = 6.0761 Å
α = 90.00°, β = 90.00°, γ = 90.00°
Element x y z (fractional)
B1 0.0000 0.5000 0.0000
Sr1 0.0000 0.0000 0.0000
Tl1 0.5000 0.0000 0.0000
Tl2 0.0000 0.0000 0.5000
Ir1 0.5000 0.5000 0.5000

Values from the calculation:
Energy relative to the elements = 2.16 eV per atom
Crystal system = tetragonal
DOS(E_F) = 7.4 states/eV/f.u.